The following is a DFT calculation (PBE) of crystalline SrCa3Mg at its relaxed geometry.

Cell: 8.466 8.466 8.466 Å, 90.00 90.00 90.00°
Fractional positions:
Sr 0.000 0.500 0.500
Sr 0.500 0.000 0.500
Sr 0.500 0.500 0.000
Ca 0.500 0.500 0.500
Ca 0.222 0.222 0.222
Ca 0.778 0.778 0.222
Ca 0.778 0.222 0.778
Ca 0.222 0.778 0.778
Ca 0.222 0.222 0.778
Ca 0.778 0.778 0.778
Ca 0.222 0.778 0.222
Ca 0.778 0.222 0.222
Mg 0.500 0.000 0.000
Mg 0.000 0.500 0.000
Mg 0.000 0.000 0.500

Properties
crystal system: cubic
formation energy from the elements: 0.033 eV per atom
uncorrected energy: -1.82 eV/atom
space group: No. 221
offset from the most stable computed form: 0 meV/atom